# Nd2CdCoO6

An optimized crystal structure of Nd2CdCoO6 (GGA+U, Alexandria).

Geometry as POSCAR:
```
Nd2CdCoO6
1.0
5.515 0.000 0.000
0.000 5.877 0.000
-5.510 0.000 7.911
Nd Cd Co O
4 2 2 12
direct
0.228 0.066 0.248 Nd
0.228 0.434 0.748 Nd
0.772 0.566 0.252 Nd
0.772 0.934 0.752 Nd
0.000 0.000 0.500 Cd
0.000 0.500 0.000 Cd
0.500 0.000 0.000 Co
0.500 0.500 0.500 Co
0.169 0.175 0.951 O
0.169 0.325 0.451 O
0.262 0.724 0.934 O
0.262 0.776 0.434 O
0.385 0.046 0.774 O
0.385 0.454 0.274 O
0.615 0.546 0.726 O
0.615 0.954 0.226 O
0.738 0.224 0.566 O
0.738 0.276 0.066 O
0.831 0.675 0.549 O
0.831 0.825 0.049 O
```

Computed properties:
- calculated total energy (Ha/atom) = -0.24392
- total magnetic moment (μB/f.u.) = 1.1